A relaxed structure of AlOsNO. Source: the Open Quantum Materials Database, functional PBE.

abc: 3.6849 3.6849 6.2405
angles: 90.00 90.00 90.00
With the nearest neighbours (Å) after each atom.
Space group P4/nmm (No. 129, origin choice 2)
Unique sites:
1 Al 0.2500 0.2500 0.1075 [2 per cell]  4 O 1.96
2 Os 0.2500 0.7500 0.5000 [2 per cell]  4 N 2.09
3 N 0.2500 0.2500 0.6568 [2 per cell]  4 Os 2.09
4 O 0.2500 0.7500 0.0000 [2 per cell]  4 Al 1.96

Calculated values
magnetic moment = 0.00 μB/f.u.
VASP energy = -7.649 eV per atom
calculated volume = 84.7 Å³/cell

=====

A relaxed structure of DyBiNO. Source: the Open Quantum Materials Database, functional PBE.

abc: 4.5572 4.5572 7.3573
angles: 90.00 90.00 90.00
With the nearest neighbours (Å) after each atom.
Space group P4/nmm (No. 129, origin choice 2)
Unique sites:
1 Dy 0.2500 0.7500 0.0000 [2 per cell]  4 N 2.33
2 Bi 0.2500 0.2500 0.4009 [2 per cell]  4 O 2.39
3 N 0.2500 0.2500 0.9308 [2 per cell]  4 Dy 2.33
4 O 0.2500 0.7500 0.5000 [2 per cell]  4 Bi 2.39

Calculated values
magnetic moment = 0.00 μB/f.u.
VASP energy = -6.240 eV per atom
calculated volume = 152.8 Å³/cell

=====

A relaxed structure of Gd3Zn3Ni2Ir. Source: the Open Quantum Materials Database, functional PBE.

abc: 7.0715 7.0715 3.9126
angles: 90.00 90.00 120.00
With the nearest neighbours (Å) after each atom.
Space group P-62m (No. 189)
Unique sites:
1 Gd 0.0000 0.4108 0.0000 [3 per cell]  4 Ni 2.90, 1 Ir 2.91, 6 Zn 3.10-3.20
2 Zn 0.0000 0.7507 0.5000 [3 per cell]  2 Ir 2.63, 2 Ni 2.70
3 Ni 0.3333 0.6667 0.5000 [2 per cell]  3 Zn 2.70, 6 Gd 2.90
4 Ir 0.0000 0.0000 0.0000 [1 per cell]  6 Zn 2.63, 3 Gd 2.91

Calculated values
DFT formation energy = -48.1 kJ per mole of atoms
magnetic moment = 0.01 μB/f.u.
VASP energy = -4.692 eV per atom
calculated volume = 169.4 Å³/cell

=====

A relaxed structure of LiPuBi. Source: the Open Quantum Materials Database, functional PBE.

abc: 7.2290 7.2290 7.2290
angles: 90.00 90.00 90.00
With the nearest neighbours (Å) after each atom.
Space group F-43m (No. 216)
Unique sites:
1 Li 0.0000 0.0000 0.0000 [4 per cell]  4 Pu 3.13
2 Pu 0.2500 0.2500 0.7500 [4 per cell]  4 Li 3.13, 4 Bi 3.13
3 Bi 0.0000 0.0000 0.5000 [4 per cell]  4 Pu 3.13

Calculated values
magnetic moment = 6.01 μB/f.u.
VASP energy = -6.667 eV per atom
calculated volume = 377.8 Å³/cell

=====

A relaxed structure of TaBNO. Source: the Open Quantum Materials Database, functional PBE.

abc: 2.7811 5.9367 4.4781
angles: 90.00 90.00 90.00
With the nearest neighbours (Å) after each atom.
Space group Pmc2_1 (No. 26)
Unique sites:
1 Ta 0.0000 0.1345 0.0000 [2 per cell]  2 N 2.15, 3 O 2.27-2.40
2 B 0.5000 0.3935 0.5705 [2 per cell]  2 N 1.44-1.48
3 N 0.5000 0.3997 0.9010 [2 per cell]  2 B 1.44-1.48
4 O 0.0000 0.2477 0.4851 [2 per cell]  2 B 1.68

Calculated values
magnetic moment = 0.00 μB/f.u.
VASP energy = -8.955 eV per atom
calculated volume = 73.9 Å³/cell

=====

A relaxed structure of HfAlNi. Source: the Open Quantum Materials Database, functional PBE.

abc: 4.2107 4.2107 6.1823
angles: 90.00 90.00 120.00
With the nearest neighbours (Å) after each atom.
Space group P6_3/mmc (No. 194)
Unique sites:
1 Hf 0.0000 0.0000 0.0000 [2 per cell]  6 Ni 2.88, 6 Al 2.88, 2 Hf 3.09
2 Al 0.3333 0.6667 0.2500 [2 per cell]  3 Ni 2.43
3 Ni 0.3333 0.6667 0.7500 [2 per cell]  3 Al 2.43

Calculated values
magnetic moment = 0.01 μB/f.u.
VASP energy = -6.927 eV per atom
calculated volume = 94.9 Å³/cell

=====

A relaxed structure of NaTmHgTe3. Source: the Open Quantum Materials Database, functional PBE.

abc: 11.6682 4.3624 14.9273
angles: 90.00 90.00 90.00
With the nearest neighbours (Å) after each atom.
Space group Pnma (No. 62)
Unique sites:
1 Na 0.2258 0.2500 0.0178 [4 per cell]  7 Te 3.43-3.63, 2 Hg 3.67
2 Tm 0.0129 0.7500 0.7451 [4 per cell]  6 Te 3.08-3.26
3 Hg 0.2406 0.7500 0.2148 [4 per cell]  4 Te 2.80-2.88
4 Te 0.0356 0.7500 0.1145 [4 per cell]  1 Hg 2.82, 2 Tm 3.08
5 Te 0.0648 0.2500 0.6052 [4 per cell]  1 Hg 2.80, 2 Tm 3.08
6 Te 0.2362 0.2500 0.3406 [4 per cell]  2 Hg 2.88, 1 Tm 3.18

Calculated values
magnetic moment = 0.00 μB/f.u.
VASP energy = -3.423 eV per atom
calculated volume = 759.8 Å³/cell

=====

A relaxed structure of YSiGePd2. Source: the Open Quantum Materials Database, functional PBE.

abc: 4.2128 4.2128 10.1094
angles: 90.00 90.00 90.00
With the nearest neighbours (Å) after each atom.
Space group I4mm (No. 107)
Unique sites:
1 Y 0.0000 0.0000 0.0000 [2 per cell]  4 Ge 3.19, 4 Si 3.22, 8 Pd 3.24-3.34
2 Si 0.0000 0.0000 0.6216 [2 per cell]  1 Ge 2.38, 4 Pd 2.44
3 Ge 0.0000 0.0000 0.3858 [2 per cell]  1 Si 2.38, 4 Pd 2.55
4 Pd 0.0000 0.5000 0.2438 [4 per cell]  2 Si 2.44, 2 Ge 2.55

Calculated values
magnetic moment = 0.00 μB/f.u.
VASP energy = -6.254 eV per atom
calculated volume = 179.4 Å³/cell

=====

A relaxed structure of NaZrCdS3. Source: the Open Quantum Materials Database, functional PBE.

abc: 10.3269 3.8392 13.3964
angles: 90.00 90.00 90.00
With the nearest neighbours (Å) after each atom.
Space group Pnma (No. 62)
Unique sites:
1 Na 0.2237 0.2500 0.0019 [4 per cell]  5 S 2.92-3.26
2 Zr 0.0176 0.7500 0.2558 [4 per cell]  6 S 2.65-2.88
3 Cd 0.2331 0.7500 0.7879 [4 per cell]  4 S 2.48-2.55
4 S 0.0247 0.7500 0.8795 [4 per cell]  1 Cd 2.48, 2 Zr 2.68
5 S 0.0644 0.2500 0.3869 [4 per cell]  1 Cd 2.48, 2 Zr 2.65
6 S 0.2311 0.2500 0.6628 [4 per cell]  2 Cd 2.55, 1 Zr 2.79

Calculated values
magnetic moment = 1.00 μB/f.u.
VASP energy = -4.811 eV per atom
calculated volume = 531.1 Å³/cell

=====

A relaxed structure of LuCoAgPb. Source: the Open Quantum Materials Database, functional PBE.

abc: 6.7865 6.7865 6.7865
angles: 90.00 90.00 90.00
With the nearest neighbours (Å) after each atom.
Space group F-43m (No. 216)
Unique sites:
1 Lu 0.0000 0.0000 0.0000 [4 per cell]  4 Pb 2.94, 4 Ag 2.94
2 Co 0.0000 0.0000 0.5000 [4 per cell]  4 Ag 2.94, 4 Pb 2.94
3 Ag 0.2500 0.2500 0.7500 [4 per cell]  4 Co 2.94, 4 Lu 2.94
4 Pb 0.2500 0.2500 0.2500 [4 per cell]  4 Co 2.94, 4 Lu 2.94

Calculated values
magnetic moment = 0.83 μB/f.u.
VASP energy = -4.446 eV per atom
calculated volume = 312.6 Å³/cell

=====

A relaxed structure of La2PPd8. Source: the Open Quantum Materials Database, functional PBE.

abc: 4.3948 17.6236 5.3839
angles: 90.00 90.00 90.00
With the nearest neighbours (Å) after each atom.
Space group Amm2 (No. 38)
Unique sites:
1 La 0.0000 0.1257 0.0000 [4 per cell]  7 Pd 3.00-3.33
2 P 0.5000 0.0000 0.2773 [2 per cell]  5 Pd 2.28-2.46
3 Pd 0.0000 0.0000 0.4821 [2 per cell]  2 P 2.46
4 Pd 0.0000 0.2019 0.4989 [4 per cell]  6 Pd 2.71-2.72, 2 La 3.00-3.01
5 Pd 0.5000 0.0000 0.8539 [2 per cell]  1 P 2.28
6 Pd 0.5000 0.1115 0.4920 [4 per cell]  1 P 2.28
7 Pd 0.5000 0.2467 0.7569 [4 per cell]  8 Pd 2.69-2.80

Calculated values
magnetic moment = 0.01 μB/f.u.
VASP energy = -5.928 eV per atom
calculated volume = 417.0 Å³/cell

=====

A relaxed structure of Bi2IrAu. Source: the Open Quantum Materials Database, functional PBE.

abc: 7.0968 7.0968 7.0968
angles: 90.00 90.00 90.00
With the nearest neighbours (Å) after each atom.
Space group F-43m (No. 216)
Unique sites:
1 Bi 0.0000 0.0000 0.0000 [4 per cell]  4 Bi 3.07, 4 Ir 3.07
2 Bi 0.2500 0.2500 0.2500 [4 per cell]  4 Bi 3.07, 4 Au 3.07
3 Ir 0.2500 0.2500 0.7500 [4 per cell]  4 Bi 3.07, 4 Au 3.07
4 Au 0.0000 0.0000 0.5000 [4 per cell]  4 Bi 3.07, 4 Ir 3.07

Calculated values
magnetic moment = 0.00 μB/f.u.
VASP energy = -4.472 eV per atom
calculated volume = 357.4 Å³/cell

=====

A relaxed structure of NaMgCu2As2. Source: the Open Quantum Materials Database, functional PBE.

abc: 3.9923 3.9923 6.5096
angles: 90.00 90.00 90.00
With the nearest neighbours (Å) after each atom.
Space group P4mm (No. 99)
Unique sites:
1 Na 0.0000 0.0000 0.0000 [1 per cell]  5 As 2.77-2.90, 4 Cu 2.96
2 Mg 0.5000 0.5000 0.3343 [1 per cell]  5 As 2.84-2.89, 4 Cu 2.93
3 Cu 0.0000 0.5000 0.6642 [2 per cell]  4 As 2.51-2.53
4 As 0.0000 0.0000 0.4261 [1 per cell]  4 Cu 2.53, 1 Na 2.77
5 As 0.5000 0.5000 0.8984 [1 per cell]  4 Cu 2.51

Calculated values
VASP energy = -3.566 eV per atom
calculated volume = 103.8 Å³/cell

=====

A relaxed structure of AlCoPdAu. Source: the Open Quantum Materials Database, functional PBE.

abc: 6.1572 6.1572 6.1572
angles: 90.00 90.00 90.00
With the nearest neighbours (Å) after each atom.
Space group F-43m (No. 216)
Unique sites:
1 Al 0.0000 0.0000 0.0000 [4 per cell]  4 Co 2.67, 4 Pd 2.67
2 Co 0.2500 0.2500 0.2500 [4 per cell]  4 Al 2.67, 4 Au 2.67
3 Pd 0.2500 0.2500 0.7500 [4 per cell]  4 Al 2.67, 4 Au 2.67
4 Au 0.0000 0.0000 0.5000 [4 per cell]  4 Co 2.67, 4 Pd 2.67

Calculated values
magnetic moment = 0.93 μB/f.u.
VASP energy = -5.043 eV per atom
calculated volume = 233.4 Å³/cell

=====

A relaxed structure of ThAu. Source: the Open Quantum Materials Database, functional PBE.

abc: 6.6896 6.6896 6.6896
angles: 90.00 90.00 90.00
With the nearest neighbours (Å) after each atom.
Space group F-43m (No. 216)
Unique sites:
1 Th 0.0000 0.0000 0.0000 [4 per cell]  4 Au 2.90
2 Au 0.2500 0.2500 0.2500 [4 per cell]  4 Th 2.90

Calculated values
DFT formation energy = 14.1 kJ per mole of atoms
magnetic moment = 0.38 μB/f.u.
VASP energy = -5.194 eV per atom
calculated volume = 299.4 Å³/cell

=====

A relaxed structure of PrPuPt2. Source: the Open Quantum Materials Database, functional PBE.

abc: 4.4296 3.9295 11.0177
angles: 90.00 90.00 90.00
With the nearest neighbours (Å) after each atom.
Space group Amm2 (No. 38)
Unique sites:
1 Pr 0.0000 0.0000 0.0000 [2 per cell]  7 Pt 2.96-3.21
2 Pu 0.5000 0.0000 0.7245 [2 per cell]  7 Pt 3.00-3.14
3 Pt 0.0000 0.0000 0.2691 [2 per cell]  2 Pt 2.96, 3 Pr 2.96-3.21, 4 Pu 3.00
4 Pt 0.5000 0.0000 0.4473 [2 per cell]  2 Pt 2.96, 4 Pr 3.02, 3 Pu 3.05-3.14

Calculated values
DFT formation energy = -94.5 kJ per mole of atoms
magnetic moment = 5.58 μB/f.u.
VASP energy = -8.732 eV per atom
calculated volume = 191.8 Å³/cell

=====

A relaxed structure of PmSiPO. Source: the Open Quantum Materials Database, functional PBE.

abc: 3.9750 5.2287 6.6134
angles: 90.00 90.00 90.00
With the nearest neighbours (Å) after each atom.
Space group Pmc2_1 (No. 26)
Unique sites:
1 Pm 0.0000 0.2352 0.0000 [2 per cell]  2 O 2.39-2.42
2 Si 0.5000 0.3120 0.3992 [2 per cell]  2 O 2.02
3 P 0.5000 0.0855 0.7045 [2 per cell]  2 Si 2.34-2.45
4 O 0.0000 0.3452 0.3558 [2 per cell]  2 Si 2.02

Calculated values
magnetic moment = 0.00 μB/f.u.
VASP energy = -6.467 eV per atom
calculated volume = 137.5 Å³/cell

=====

A relaxed structure of DyErS2Br2. Source: the Open Quantum Materials Database, functional PBE.

abc: 4.0450 5.3401 9.0783
angles: 90.00 90.00 90.00
With the nearest neighbours (Å) after each atom.
Space group Pmm2 (No. 25)
Unique sites:
1 Dy 0.0000 0.0000 0.0000 [1 per cell]  4 S 2.71-2.74, 2 Br 2.83
2 Er 0.5000 0.5000 0.7471 [1 per cell]  4 S 2.71-2.72, 2 Br 2.81
3 S 0.0000 0.5000 0.9475 [1 per cell]  2 Dy 2.71, 2 Er 2.72
4 S 0.5000 0.0000 0.7957 [1 per cell]  2 Er 2.71, 2 Dy 2.74
5 Br 0.0000 0.5000 0.5327 [1 per cell]  2 Er 2.81
6 Br 0.5000 0.0000 0.2173 [1 per cell]  2 Dy 2.83

Calculated values
magnetic moment = 0.00 μB/f.u.
VASP energy = -5.477 eV per atom
calculated volume = 196.1 Å³/cell

=====

A relaxed structure of NiBMo. Source: the Open Quantum Materials Database, functional PBE.

abc: 5.2797 5.2797 5.2797
angles: 90.00 90.00 90.00
With the nearest neighbours (Å) after each atom.
Space group F-43m (No. 216)
Unique sites:
1 Ni 0.0000 0.0000 0.0000 [4 per cell]  4 Mo 2.29, 4 B 2.29
2 B 0.2500 0.2500 0.7500 [4 per cell]  4 Ni 2.29
3 Mo 0.2500 0.2500 0.2500 [4 per cell]  4 Ni 2.29

Calculated values
magnetic moment = 0.11 μB/f.u.
VASP energy = -7.205 eV per atom
calculated volume = 147.2 Å³/cell

=====

A relaxed structure of YAlRe. Source: the Open Quantum Materials Database, functional PBE.

abc: 6.4396 6.4396 6.4396
angles: 90.00 90.00 90.00
With the nearest neighbours (Å) after each atom.
Space group F-43m (No. 216)
Unique sites:
1 Y 0.0000 0.0000 0.0000 [4 per cell]  4 Re 2.79
2 Al 0.0000 0.0000 0.5000 [4 per cell]  4 Re 2.79
3 Re 0.2500 0.2500 0.7500 [4 per cell]  4 Al 2.79, 4 Y 2.79

Calculated values
magnetic moment = 0.62 μB/f.u.
VASP energy = -7.072 eV per atom
calculated volume = 267.0 Å³/cell